The following is a meta-GGA SCAN calculation of a crystal of LiCdPb2 relaxed with PBEsol, from the Alexandria database.

final energy = -46.19 eV/atom

Cell: 3.3563 6.0116 6.0116 Å, 113.08 103.18 103.18°
Last column: nearest neighbours and their distance in Å.
Fractional positions:
1 Cd 0.5000 0.0000 0.0000  4 Pb 3.09, 2 Li 3.31, 2 Cd 3.36
2 Pb 0.0000 0.0000 0.5000  2 Li 3.09, 2 Cd 3.09, 4 Pb 3.31-3.36
3 Pb 0.0000 0.5000 0.0000  2 Cd 3.09, 2 Li 3.09, 4 Pb 3.31-3.36
4 Li 0.5000 0.5000 0.5000  4 Pb 3.09, 2 Cd 3.31, 2 Li 3.36

---

The following is a meta-GGA SCAN calculation of a crystal of La10Ga5Br4 relaxed with PBEsol, from the Alexandria database.

final energy = -32.18 eV/atom

Cell: 8.0484 8.0484 17.0065 Å, 103.69 103.69 90.00°
Last column: nearest neighbours and their distance in Å.
Fractional positions:
1 Br 0.9438 0.9438 0.8876  5 La 3.03-3.15
2 Br 0.1421 0.6421 0.0000  6 La 3.15-3.42, 1 Br 3.23
3 Br 0.6421 0.8579 0.0000  6 La 3.15-3.42, 1 Br 3.23
4 Br 0.5562 0.5562 0.1124  5 La 3.03-3.15
5 Br 0.0562 0.0562 0.1124  5 La 3.03-3.15
6 Br 0.8579 0.3579 0.0000  6 La 3.15-3.42, 1 Br 3.23
7 Br 0.3579 0.1421 0.0000  6 La 3.15-3.42, 1 Br 3.23
8 Br 0.4438 0.4438 0.8876  5 La 3.03-3.15
9 La 0.4026 0.9026 0.1442  3 Br 3.03-3.15, 3 Ga 3.11
10 La 0.9026 0.7416 0.1442  3 Br 3.03-3.15, 3 Ga 3.11
11 La 0.7416 0.2416 0.1442  3 Br 3.03-3.15, 3 Ga 3.11
12 La 0.3456 0.3456 0.6911  5 Ga 3.06-3.26, 1 Br 3.15, 4 La 3.38
13 La 0.4656 0.9656 0.5935  5 Ga 3.23-3.35, 3 La 3.38-3.52
14 La 0.2416 0.4026 0.1442  3 Br 3.03-3.15, 3 Ga 3.11
15 La 0.1279 0.6279 0.5935  5 Ga 3.23-3.35, 3 La 3.38-3.52
16 La 0.6544 0.6544 0.3089  5 Ga 3.06-3.26, 1 Br 3.15, 4 La 3.38
17 La 0.0974 0.2584 0.8558  3 Br 3.03-3.15, 3 Ga 3.11
18 La 0.5344 0.0344 0.4065  5 Ga 3.23-3.35, 3 La 3.38-3.52
19 La 0.9656 0.1279 0.5935  5 Ga 3.23-3.35, 3 La 3.38-3.52
20 La 0.1544 0.1544 0.3089  5 Ga 3.06-3.26, 1 Br 3.15, 4 La 3.38
21 La 0.5974 0.0974 0.8558  3 Br 3.03-3.15, 3 Ga 3.11
22 La 0.3721 0.5344 0.4065  5 Ga 3.23-3.35, 3 La 3.38-3.52
23 La 0.6279 0.4656 0.5935  5 Ga 3.23-3.35, 3 La 3.38-3.52
24 La 0.2584 0.7584 0.8558  3 Br 3.03-3.15, 3 Ga 3.11
25 La 0.7584 0.5974 0.8558  3 Br 3.03-3.15, 3 Ga 3.11
26 La 0.0344 0.8721 0.4065  5 Ga 3.23-3.35, 3 La 3.38-3.52
27 La 0.8456 0.8456 0.6911  5 Ga 3.06-3.26, 1 Br 3.15, 4 La 3.38
28 La 0.8721 0.3721 0.4065  5 Ga 3.23-3.35, 3 La 3.38-3.52
29 Ga 0.2428 0.9877 0.7305  1 Ga 2.79, 3 La 3.11
30 Ga 0.2572 0.7572 0.2695  1 Ga 2.79, 3 La 3.11
31 Ga 0.4877 0.7428 0.7305  1 Ga 2.79, 3 La 3.11
32 Ga 0.7572 0.0123 0.2695  1 Ga 2.79, 3 La 3.11
33 Ga 0.0123 0.5123 0.2695  1 Ga 2.79, 3 La 3.11
34 Ga 0.7500 0.7500 0.5000  10 La 3.06-3.35
35 Ga 0.2500 0.2500 0.5000  10 La 3.06-3.35
36 Ga 0.5123 0.2572 0.2695  1 Ga 2.79, 3 La 3.11
37 Ga 0.7428 0.2428 0.7305  1 Ga 2.79, 3 La 3.11
38 Ga 0.9877 0.4877 0.7305  1 Ga 2.79, 3 La 3.11

---

The following is a meta-GGA SCAN calculation of a crystal of AuSeBr2 relaxed with PBEsol, from the Alexandria database.

final energy = -31.71 eV/atom

Cell: 3.6202 3.7845 8.0334 Å, 90.00 90.00 118.57°
Last column: nearest neighbours and their distance in Å.
Fractional positions:
1 Br 0.0000 0.0000 0.2306  2 Au 2.59, 2 Se 2.82
2 Br 0.0000 0.0000 0.7694  2 Au 2.59, 2 Se 2.82
3 Au 0.5000 0.0000 0.0000  4 Br 2.59
4 Se 0.5000 0.0000 0.5000  4 Br 2.82

---

The following is a meta-GGA SCAN calculation of a crystal of CrNi relaxed with PBEsol, from the Alexandria database.

final energy = -17.20 eV/atom

Cell: 2.4056 2.4056 7.3660 Å, 90.00 90.00 90.10°
Last column: nearest neighbours and their distance in Å.
Fractional positions:
1 Ni 0.2500 0.7500 0.6242  8 Ni 2.41-2.50, 4 Cr 2.45
2 Ni 0.7500 0.2500 0.3758  8 Ni 2.41-2.50, 4 Cr 2.45
3 Cr 0.2500 0.7500 0.1366  8 Cr 2.41-2.64, 4 Ni 2.45
4 Cr 0.7500 0.2500 0.8634  8 Cr 2.41-2.64, 4 Ni 2.45